(1)
Material: CoReNi2
Method: DFT, PBE
State: relaxed

The space group is C2/m, No. 12. The uncorrected energy is -7.7200 eV/atom. As for the total moment: 0.256 μB per atom. Its formation energy is 59 meV per atom. As for the energy relative to the lowest polymorph listed for this composition: 1.202 kcal/mol of atoms.

```
CoReNi2
1.0
4.446 -0.002 0.011
3.696 2.473 0.011
0.748 0.227 4.317
Re Ni Co
1 2 1
Direct
0.250 0.250 0.250 Re
0.498 0.498 0.501 Ni
0.002 0.002 0.999 Ni
0.750 0.750 0.750 Co
```

---

(2)
Material: CuTe
Method: DFT, PBE
State: relaxed

The space group is Fddd, No. 70. The uncorrected energy is -3.5803 eV/atom. As for the total moment: 0.000 μB per atom. Its uncorrected formation energy is 0.04 eV/atom.

```
CuTe
1.0
8.374 0.000 0.000
0.000 11.180 0.000
0.000 0.000 8.026
Cu Te
16 16
Direct
0.500 0.615 0.500 Cu
0.750 0.865 0.250 Cu
0.750 0.365 0.750 Cu
0.750 0.635 0.250 Cu
0.500 0.115 0.000 Cu
0.000 0.885 0.500 Cu
0.500 0.385 0.500 Cu
0.250 0.365 0.250 Cu
0.250 0.635 0.750 Cu
0.500 0.885 0.000 Cu
0.000 0.385 0.000 Cu
0.000 0.615 0.000 Cu
0.000 0.115 0.500 Cu
0.250 0.135 0.250 Cu
0.250 0.865 0.750 Cu
0.750 0.135 0.750 Cu
0.250 0.750 0.466 Te
0.250 0.250 0.966 Te
0.000 0.000 0.216 Te
0.250 0.750 0.034 Te
0.750 0.250 0.466 Te
0.000 0.000 0.784 Te
0.000 0.500 0.716 Te
0.500 0.500 0.216 Te
0.250 0.250 0.534 Te
0.500 0.000 0.716 Te
0.000 0.500 0.284 Te
0.750 0.750 0.966 Te
0.500 0.000 0.284 Te
0.750 0.250 0.034 Te
0.750 0.750 0.534 Te
0.500 0.500 0.784 Te
```

---

(3)
Material: Li2CaAlCu
Method: DFT, PBE
State: relaxed

The space group is P4/mmm, No. 123. The uncorrected energy is -2.7677 eV/atom. As for the total moment: 0.000 μB per atom. Its formation energy is -34 meV per atom.

```
Li2CaAlCu
1.0
-1.822 1.577 -4.134
3.953 -1.428 -2.287
-1.932 -4.168 -0.738
Cu Al Li Ca
1 1 2 1
Direct
0.000 0.000 0.000 Cu
0.000 0.000 0.500 Al
0.000 0.500 0.000 Li
0.500 0.000 0.000 Li
0.500 0.500 0.500 Ca
```

---

(4)
Material: Er3ZrPt12
Method: DFT, PBE
State: relaxed

The space group is P4/mmm, No. 123. The uncorrected energy is -6.9922 eV/atom. As for the total moment: 0.000 μB per atom. Its formation energy is -1072 meV per atom.

```
Er3ZrPt12
1.0
-3.657 0.494 1.758
1.303 -2.051 3.287
5.121 14.013 6.712
Pt Zr Er
12 1 3
Direct
0.500 0.000 0.879 Pt
0.000 0.500 0.626 Pt
0.000 0.500 0.374 Pt
0.000 0.500 0.879 Pt
0.500 0.500 0.000 Pt
0.500 0.000 0.121 Pt
0.500 0.500 0.752 Pt
0.500 0.500 0.500 Pt
0.500 0.500 0.248 Pt
0.500 0.000 0.626 Pt
0.500 0.000 0.374 Pt
0.000 0.500 0.121 Pt
0.000 0.000 0.000 Zr
0.000 0.000 0.500 Er
0.000 0.000 0.750 Er
0.000 0.000 0.250 Er
```

---

(5)
Material: CoAsPCl2
Method: DFT, PBE
State: relaxed

The space group is P4/mmm, No. 123. The uncorrected energy is -3.7943 eV/atom. As for the total moment: 0.000 μB per atom. Its uncorrected formation energy is 0.38 eV/atom. As for the energy relative to the lowest polymorph listed for this composition: 0.000 kcal/mol of atoms.

```
CoAsPCl2
1.0
4.419 0.000 0.000
0.000 4.419 0.000
0.000 0.000 4.686
P Cl Co As
1 2 1 1
Direct
0.000 0.000 0.500 P
0.000 0.500 0.000 Cl
0.500 0.000 0.000 Cl
0.000 0.000 0.000 Co
0.500 0.500 0.500 As
```

---

(6)
Material: Tl2HgPd5
Method: DFT, PBE
State: relaxed

The space group is I4/mmm, No. 139. The uncorrected energy is -4.0095 eV/atom. As for the total moment: 0.000 μB per atom. Its formation energy is -135 meV per atom. As for the energy relative to the lowest polymorph listed for this composition: 1.051 kcal/mol of atoms.

```
Tl2HgPd5
1.0
-1.258 -4.701 0.329
3.662 -1.190 -2.994
2.470 2.295 6.083
Pd Tl Hg
5 2 1
Direct
0.500 0.500 0.000 Pd
0.376 0.876 0.753 Pd
0.876 0.376 0.753 Pd
0.124 0.624 0.247 Pd
0.624 0.124 0.247 Pd
0.740 0.740 0.481 Tl
0.260 0.260 0.519 Tl
0.000 0.000 0.000 Hg
```

---

(7)
Material: CoRuCl3
Method: DFT, PBE
State: relaxed

The space group is Fd-3m, No. 227. The uncorrected energy is -4.2693 eV/atom. As for the total moment: 0.400 μB per atom. Its uncorrected formation energy is 0.12 eV/atom. As for the energy relative to the lowest polymorph listed for this composition: 8.375 kcal/mol of atoms.

```
CoRuCl3
1.0
5.010 -6.646 -0.481
4.072 -2.650 6.776
-2.209 -7.159 3.657
Ru Cl Co
4 12 4
Direct
0.125 0.625 0.625 Ru
0.625 0.625 0.125 Ru
0.625 0.125 0.625 Ru
0.625 0.625 0.625 Ru
0.280 0.720 0.280 Cl
0.530 0.530 0.970 Cl
0.970 0.970 0.530 Cl
0.720 0.720 0.280 Cl
0.720 0.280 0.720 Cl
0.530 0.970 0.970 Cl
0.530 0.970 0.530 Cl
0.970 0.530 0.970 Cl
0.280 0.720 0.720 Cl
0.280 0.280 0.720 Cl
0.970 0.530 0.530 Cl
0.720 0.280 0.280 Cl
0.125 0.125 0.125 Co
0.125 0.625 0.125 Co
0.125 0.125 0.625 Co
0.625 0.125 0.125 Co
```

---

(8)
Material: Mg2CdNi
Method: DFT, PBE
State: relaxed

The space group is Cm, No. 8. The uncorrected energy is -2.5624 eV/atom. As for the total moment: 0.000 μB per atom. Its formation energy is -91 meV per atom.

```
Mg2CdNi
1.0
5.667 0.101 0.028
4.716 3.143 0.028
1.980 0.619 4.144
Ni Mg Cd
1 2 1
Direct
0.499 0.499 0.497 Ni
0.786 0.786 0.716 Mg
0.996 0.996 0.002 Mg
0.218 0.218 0.285 Cd
```

---

(9)
Material: BeBr2Cl
Method: DFT, PBE
State: relaxed

The space group is Fm-3m, No. 225. The uncorrected energy is -1.6524 eV/atom. As for the total moment: 0.000 μB per atom. Its uncorrected formation energy is 0.58 eV/atom. As for the energy relative to the lowest polymorph listed for this composition: 29.362 kcal/mol of atoms.

```
BeBr2Cl
1.0
-0.729 -4.596 -1.482
-4.484 -1.481 -1.248
-1.054 -0.919 -4.680
Be Br Cl
1 2 1
Direct
0.000 0.000 0.000 Be
0.250 0.250 0.250 Br
0.750 0.750 0.750 Br
0.500 0.500 0.500 Cl
```

---

(10)
Material: VHgH
Method: DFT, PBE
State: relaxed

The space group is F-43m, No. 216. The uncorrected energy is -3.0805 eV/atom. As for the total moment: 0.000 μB per atom. As for the energy relative to the lowest polymorph listed for this composition: 26.800 kcal/mol of atoms.

```
VHgH
1.0
2.914 2.914 0.000
0.000 2.914 2.914
2.914 0.000 2.914
Hg H V
1 1 1
Direct
0.750 0.750 0.750 Hg
0.250 0.250 0.250 H
0.500 0.500 0.500 V
```

---

(11)
Material: SmYEr2Tm6
Method: DFT, PBE
State: relaxed

The space group is C2/c, No. 15. The uncorrected energy is -4.5913 eV/atom. As for the total moment: 0.000 μB per atom. Its formation energy is 122 meV per atom.

```
SmYEr2Tm6
1.0
8.979 -1.991 -2.066
0.833 8.423 -2.001
0.833 -2.312 8.343
Tm Er Sm Y
12 4 2 2
Direct
0.119 0.710 0.492 Tm
0.318 0.978 0.432 Tm
0.943 0.876 0.249 Tm
0.557 0.751 0.124 Tm
0.619 0.492 0.710 Tm
0.443 0.249 0.876 Tm
0.881 0.290 0.508 Tm
0.818 0.432 0.978 Tm
0.182 0.568 0.022 Tm
0.057 0.124 0.751 Tm
0.381 0.508 0.290 Tm
0.682 0.022 0.568 Tm
0.546 0.197 0.304 Er
0.454 0.803 0.696 Er
0.954 0.696 0.803 Er
0.046 0.304 0.197 Er
0.750 0.026 0.974 Sm
0.250 0.974 0.026 Sm
0.750 0.591 0.409 Y
0.250 0.409 0.591 Y
```

---

(12)
Material: LaCd2In
Method: DFT, PBE
State: relaxed

The space group is C2, No. 5. The uncorrected energy is -2.7038 eV/atom. As for the total moment: 0.000 μB per atom. Its formation energy is -330 meV per atom.

```
LaCd2In
1.0
-3.637 -3.673 -1.081
1.112 0.405 -5.147
3.861 -1.072 3.435
La Cd In
1 2 1
Direct
0.750 0.250 0.500 La
0.002 0.998 0.000 Cd
0.250 0.750 0.500 Cd
0.498 0.502 0.000 In
```

---

(13)
Material: UGaSe4
Method: DFT, PBE
State: relaxed

The space group is P2/m, No. 10. The uncorrected energy is -5.4228 eV/atom. As for the total moment: 0.167 μB per atom. Its uncorrected formation energy is -0.71 eV/atom.

```
UGaSe4
1.0
3.888 0.000 0.000
0.000 6.735 0.166
0.000 0.199 6.677
Se Ga U
4 1 1
Direct
0.000 0.754 0.665 Se
0.500 0.781 0.158 Se
0.000 0.246 0.335 Se
0.500 0.219 0.842 Se
0.000 0.000 0.000 Ga
0.500 0.000 0.500 U
```

---

(14)
Material: Mg2TlCu
Method: DFT, PBE
State: relaxed

The space group is F-43m, No. 216. The uncorrected energy is -2.2953 eV/atom. As for the total moment: 0.000 μB per atom. Its formation energy is 118 meV per atom.

```
Mg2TlCu
1.0
4.820 0.000 0.000
2.410 4.174 0.000
2.410 1.391 3.935
Cu Tl Mg
1 1 2
Direct
0.500 0.500 0.500 Cu
0.750 0.750 0.750 Tl
0.250 0.250 0.250 Mg
0.000 0.000 0.000 Mg
```

---

(15)
Material: Er8P3S4O
Method: DFT, PBE
State: relaxed

The space group is R-3m, No. 166. The uncorrected energy is -6.5674 eV/atom. As for the total moment: 0.000 μB per atom. Its uncorrected formation energy is -1.93 eV/atom.

```
Er8P3S4O
1.0
-3.402 6.222 2.962
-6.759 -2.265 -3.005
3.937 -4.766 4.565
S P O Er
4 3 1 8
Direct
0.500 0.000 0.500 S
0.500 0.000 0.000 S
0.000 0.000 0.000 S
0.000 0.000 0.500 S
0.500 0.500 0.500 P
0.500 0.500 0.000 P
0.000 0.500 0.500 P
0.000 0.500 0.000 O
0.252 0.257 0.505 Er
0.761 0.266 0.522 Er
0.756 0.733 0.995 Er
0.748 0.743 0.495 Er
0.762 0.267 0.005 Er
0.238 0.733 0.995 Er
0.244 0.267 0.005 Er
0.239 0.734 0.478 Er
```

---

(16)
Material: ScPa2Cl8
Method: DFT, PBE
State: relaxed

The space group is C2/m, No. 12. The uncorrected energy is -5.3327 eV/atom. As for the total moment: 0.057 μB per atom. Its uncorrected formation energy is -1.69 eV/atom.

```
ScPa2Cl8
1.0
-5.062 3.990 3.471
2.906 -1.489 6.400
5.034 4.096 3.083
Cl Sc Pa
8 1 2
Direct
0.756 0.210 0.706 Cl
0.244 0.790 0.294 Cl
0.127 0.811 0.811 Cl
0.583 0.704 0.704 Cl
0.244 0.294 0.790 Cl
0.873 0.189 0.189 Cl
0.756 0.706 0.210 Cl
0.417 0.296 0.296 Cl
0.000 0.000 0.000 Sc
0.462 0.904 0.904 Pa
0.538 0.096 0.096 Pa
```

---

(17)
Material: CaTa4Hg
Method: DFT, PBE
State: relaxed

The space group is F-43m, No. 216. The uncorrected energy is -7.7896 eV/atom. As for the total moment: 0.000 μB per atom. Its formation energy is 496 meV per atom.

```
CaTa4Hg
1.0
5.160 -2.047 1.063
0.587 -4.833 2.872
1.792 -4.661 -2.648
Hg Ta Ca
1 4 1
Direct
0.000 0.000 0.000 Hg
0.378 0.378 0.867 Ta
0.867 0.378 0.378 Ta
0.378 0.867 0.378 Ta
0.378 0.378 0.378 Ta
0.750 0.750 0.750 Ca
```

---

(18)
Material: PaNi4Se
Method: DFT, PBE
State: relaxed

The space group is F-43m, No. 216. The uncorrected energy is -6.3779 eV/atom. As for the total moment: 0.155 μB per atom. Its uncorrected formation energy is -0.36 eV/atom.

```
PaNi4Se
1.0
4.960 0.000 0.000
2.480 4.296 0.000
2.480 1.432 4.050
Ni Pa Se
4 1 1
Direct
0.625 0.625 0.125 Ni
0.125 0.625 0.625 Ni
0.625 0.125 0.625 Ni
0.625 0.625 0.625 Ni
0.000 0.000 0.000 Pa
0.250 0.250 0.250 Se
```

---

(19)
Material: RbBeW3
Method: DFT, PBE
State: relaxed

The space group is Pm-3m, No. 221. The uncorrected energy is -6.5804 eV/atom. As for the total moment: 0.000 μB per atom. Its formation energy is 2130 meV per atom. As for the energy relative to the lowest polymorph listed for this composition: 0.000 kcal/mol of atoms.

```
RbBeW3
1.0
4.525 0.000 0.000
0.000 4.525 0.000
0.000 0.000 4.525
W Rb Be
3 1 1
Direct
0.000 0.500 0.000 W
0.000 0.000 0.500 W
0.500 0.000 0.000 W
0.500 0.500 0.500 Rb
0.000 0.000 0.000 Be
```

---

(20)
Material: NaZrInI6
Method: DFT, PBE
State: relaxed

The space group is P-31c, No. 163. The uncorrected energy is -3.3082 eV/atom. As for the total moment: 0.000 μB per atom. Its uncorrected formation energy is -0.87 eV/atom.

```
NaZrInI6
1.0
-5.939 1.933 4.943
5.337 -5.508 2.149
8.258 10.300 5.892
Zr I In Na
2 12 2 2
Direct
0.667 0.333 0.250 Zr
0.333 0.667 0.750 Zr
0.348 0.969 0.633 I
0.031 0.379 0.633 I
0.621 0.652 0.633 I
0.379 0.348 0.367 I
0.031 0.652 0.867 I
0.652 0.031 0.367 I
0.348 0.379 0.867 I
0.969 0.348 0.133 I
0.652 0.621 0.133 I
0.379 0.031 0.133 I
0.969 0.621 0.367 I
0.621 0.969 0.867 I
0.000 0.000 0.000 In
0.000 0.000 0.500 In
0.667 0.333 0.750 Na
0.333 0.667 0.250 Na
```

---

(21)
Material: PmEr2Al
Method: DFT, PBE
State: relaxed

The space group is Amm2, No. 38. The uncorrected energy is -4.5932 eV/atom. As for the total moment: 0.000 μB per atom. Its formation energy is -188 meV per atom. As for the energy relative to the lowest polymorph listed for this composition: 0.257 kcal/mol of atoms.

```
PmEr2Al
1.0
5.297 0.000 0.000
0.000 6.860 0.004
0.000 -3.421 5.946
Pm Er Al
2 4 2
Direct
0.500 0.177 0.352 Pm
0.500 0.648 0.823 Pm
0.500 0.174 0.826 Er
0.000 0.826 0.174 Er
0.000 0.351 0.173 Er
0.000 0.827 0.649 Er
0.500 0.668 0.332 Al
0.000 0.329 0.671 Al
```

---

(22)
Material: Al2TcPd
Method: DFT, PBE
State: relaxed

The space group is Immm, No. 71. The uncorrected energy is -5.4627 eV/atom. As for the total moment: 0.000 μB per atom. Its formation energy is 298 meV per atom.

```
Al2TcPd
1.0
-3.040 -0.893 -4.735
0.274 -3.176 4.722
0.830 2.393 5.103
Pd Al Tc
1 2 1
Direct
0.000 0.500 0.500 Pd
0.000 0.744 0.744 Al
0.000 0.256 0.256 Al
0.000 0.000 0.000 Tc
```

---

(23)
Material: TbBeAu3
Method: DFT, PBE
State: relaxed

The space group is R3m, No. 160. The uncorrected energy is -4.1328 eV/atom. As for the total moment: 0.000 μB per atom. Its formation energy is -495 meV per atom.

```
TbBeAu3
1.0
4.564 -0.074 -0.172
-0.176 4.561 -0.172
-0.072 -0.074 4.567
Be Au Tb
1 3 1
Direct
0.754 0.754 0.754 Be
0.840 0.840 0.276 Au
0.276 0.840 0.840 Au
0.840 0.276 0.840 Au
0.346 0.346 0.346 Tb
```